In3CoOs | Alexandria | SCAN | single point on PBEsol structure; SG = Pm-3m; formation energy from the elements = 0.8104 eV per atom
1.0
5.0610 0.0000 0.0000
0.0000 5.0610 0.0000
0.0000 0.0000 5.0610
In Co Os
3 1 1
direct
0.0000 0.0000 0.5000
0.0000 0.5000 0.0000
0.5000 0.0000 0.0000
0.5000 0.5000 0.5000
0.0000 0.0000 0.0000

---

Re6Ni7 | Alexandria | SCAN | single point on PBEsol structure; SG = R-3m; formation energy from the elements = 0.0352 eV per atom
1.0
2.3163 1.3373 8.4446
-2.3163 1.3373 8.4446
0.0000 -2.6747 8.4446
Re Ni
6 7
direct
0.0486 0.0486 0.0486
0.1507 0.1507 0.1507
0.3327 0.3327 0.3327
0.6673 0.6673 0.6673
0.8493 0.8493 0.8493
0.9514 0.9514 0.9514
0.0869 0.5916 0.5916
0.4084 0.4084 0.9131
0.4084 0.9131 0.4084
0.5000 0.5000 0.5000
0.5916 0.0869 0.5916
0.5916 0.5916 0.0869
0.9131 0.4084 0.4084

---

HoNi2 | Alexandria | SCAN | single point on PBEsol structure; SG = Fd-3m; formation energy from the elements = -0.4886 eV per atom
1.0
0.0000 3.5070 3.5070
3.5070 0.0000 3.5070
3.5070 3.5070 0.0000
Ho Ni
2 4
direct
0.1250 0.1250 0.1250
0.8750 0.8750 0.8750
0.0000 0.5000 0.5000
0.5000 0.0000 0.5000
0.5000 0.5000 0.0000
0.5000 0.5000 0.5000

---

La5Sn3C | Alexandria | SCAN | single point on PBEsol structure; SG = P6_3/mcm; formation energy from the elements = -0.7539 eV per atom
1.0
9.4302 0.0000 0.0000
-4.7151 8.1668 0.0000
0.0000 0.0000 6.7684
La Sn C
10 6 2
direct
0.0000 0.2136 0.2500
0.0000 0.7864 0.7500
0.2136 0.0000 0.2500
0.2136 0.2136 0.7500
0.3333 0.6667 0.0000
0.3333 0.6667 0.5000
0.6667 0.3333 0.0000
0.6667 0.3333 0.5000
0.7864 0.0000 0.7500
0.7864 0.7864 0.2500
0.0000 0.4115 0.7500
0.0000 0.5885 0.2500
0.4115 0.0000 0.7500
0.4115 0.4115 0.2500
0.5885 0.0000 0.2500
0.5885 0.5885 0.7500
0.0000 0.0000 0.0000
0.0000 0.0000 0.5000

---

Mo3RhN | Alexandria | SCAN | single point on PBEsol structure; SG = Pm-3m; E_form (uncorrected) = -153 meV per atom
1.0
4.0400 0.0000 0.0000
0.0000 4.0400 0.0000
0.0000 0.0000 4.0400
Mo Rh N
3 1 1
direct
0.0000 0.0000 0.5000
0.0000 0.5000 0.0000
0.5000 0.0000 0.0000
0.5000 0.5000 0.5000
0.0000 0.0000 0.0000

---

Sr2VN3 | Alexandria | SCAN | single point on PBEsol structure; SG = C2/c; E_form (uncorrected) = -1384 meV per atom
1.0
2.8300 -5.4626 0.0000
2.8300 5.4626 0.0000
-0.1890 0.0000 12.2143
Sr V N
8 4 12
direct
0.0477 0.4438 0.8535
0.1337 0.3554 0.4227
0.3554 0.1337 0.9227
0.4438 0.0477 0.3535
0.5562 0.9523 0.6465
0.6446 0.8663 0.0773
0.8663 0.6446 0.5773
0.9523 0.5562 0.1465
0.2545 0.2584 0.6638
0.2584 0.2545 0.1638
0.7416 0.7455 0.8362
0.7455 0.7416 0.3362
0.0221 0.9779 0.7500
0.1208 0.4422 0.6329
0.1474 0.3266 0.0453
0.3266 0.1474 0.5453
0.4422 0.1208 0.1329
0.4441 0.5559 0.2500
0.5559 0.4441 0.7500
0.5578 0.8792 0.8671
0.6734 0.8526 0.4547
0.8526 0.6734 0.9547
0.8792 0.5578 0.3671
0.9779 0.0221 0.2500

---

- Number 5 is which compound?
  Mo3RhN